Density functional theory data (PBE-GGA) for a geometry-optimized Mo3Ru3C2 structure.

```
data_Mo3Ru3C2
_space_group_name_H-M_alt 'P -3 m 1'
_space_group_IT_number 164
_space_group_name_Hall '-P 3 2"'
_cell_length_a 2.9016
_cell_length_b 2.9016
_cell_length_c 13.9639
_cell_angle_alpha 90.00
_cell_angle_beta 90.00
_cell_angle_gamma 120.00
loop_
_atom_site_label
_atom_site_fract_x
_atom_site_fract_y
_atom_site_fract_z
Mo1 0.0000 0.0000 0.0000
Mo2 0.3333 0.6667 0.8119
Ru1 0.0000 0.0000 0.5000
Ru2 0.3333 0.6667 0.3462
C1 0.3333 0.6667 0.0987
```

Computed properties:
ΔE_f in meV/atom: 159
DOS(E_F) in states/eV per cell: 7.08
Volume in Å³/f.u.: 101.8

***

Density functional theory data (PBE-GGA) for a geometry-optimized CdOs2O structure.

```
data_CdOs2O
_space_group_name_H-M_alt 'F m -3 m'
_space_group_IT_number 225
_space_group_name_Hall '-F 4 2 3'
_cell_length_a 6.131
_cell_length_b 6.131
_cell_length_c 6.131
_cell_angle_alpha 90.00
_cell_angle_beta 90.00
_cell_angle_gamma 90.00
loop_
_atom_site_label
_atom_site_fract_x
_atom_site_fract_y
_atom_site_fract_z
Cd1 0.000 0.000 0.000
Os1 0.250 0.250 0.250
O1 0.000 0.000 0.500
```

Computed properties:
E_form (uncorrected) in eV/atom: 1.536
Energy above the lowest structure with this stoichiometry in meV/atom: 750.2
DOS(E_F) in states/eV per cell: 22.15
Volume in Å³/f.u.: 57.6

***

Density functional theory data (PBE-GGA) for a geometry-optimized Pm3Pr2ScSe6 structure.

```
data_Pm3Pr2ScSe6
_space_group_name_H-M_alt 'C 1 2/m 1'
_space_group_IT_number 12
_cell_length_a 18.135
_cell_length_b 4.157
_cell_length_c 8.391
_cell_angle_alpha 90.00
_cell_angle_beta 102.89
_cell_angle_gamma 90.00
loop_
_space_group_symop_operation_xyz
'x,y,z'
'-x,-y,-z'
'-x,y,-z'
'x,-y,z'
'x+1/2,y+1/2,z'
'-x+1/2,-y+1/2,-z'
'-x+1/2,y+1/2,-z'
'x+1/2,-y+1/2,z'
loop_
_atom_site_label
_atom_site_fract_x
_atom_site_fract_y
_atom_site_fract_z
Pm1 0.000 0.000 0.000
Pm2 0.173 0.500 0.336
Pr1 0.167 0.500 0.834
Sc1 0.000 0.000 0.500
Se1 0.004 0.500 0.269
Se2 0.157 0.000 0.575
Se3 0.164 0.000 0.087
```

Computed properties:
E_form (uncorrected) in eV/atom: -1.776
DOS(E_F) in states/eV per cell: 12.56
Volume in Å³/f.u.: 308.3